# 1
Sm3UB2Rh9 | Alexandria | GGA-PBE | relaxed; energy of formation from the pure elements = -0.602 eV/atom; raw total energy = -114.0 eV for the cell shown; volume = 17.5 Å³/atom
1.0
5.929 0.000 0.000
-2.965 5.135 0.000
0.000 0.000 8.607
Sm U B Rh
3 1 2 9
Cartesian
0.000 3.423 5.673 Sm
0.000 0.000 0.000 Sm
2.965 1.712 2.934 Sm
0.000 0.000 4.303 U
0.000 3.423 1.228 B
2.965 1.712 7.379 B
4.463 0.847 6.161 Rh
2.965 3.442 6.161 Rh
1.466 0.847 6.161 Rh
1.499 4.289 2.446 Rh
0.000 1.693 2.446 Rh
-1.499 4.289 2.446 Rh
2.965 0.000 0.000 Rh
-1.482 2.568 0.000 Rh
1.482 2.568 0.000 Rh

=====

# 2
HfH | Alexandria | GGA-PBE | relaxed; raw total energy = -27.6 eV for the cell shown; volume = 12.6 Å³/atom
1.0
-2.862 0.402 1.460
1.193 -2.979 -0.432
2.549 0.308 4.910
Hf H
2 2
Cartesian
1.677 -1.630 3.736 Hf
-0.949 -0.657 1.911 Hf
0.763 -1.741 1.975 H
0.686 -0.460 5.061 H

=====

# 3
Y2Rh | Alexandria | GGA-PBE | relaxed; energy of formation from the pure elements = 0.021 eV/atom; raw total energy = -20.2 eV for the cell shown; volume = 22.1 Å³/atom
1.0
-2.651 3.862 1.577
0.085 -4.181 2.635
2.480 1.053 1.590
Y Rh
2 1
Cartesian
-0.827 -1.500 2.283 Y
-1.739 1.181 1.930 Y
1.240 0.527 0.795 Rh

=====

# 4
ZrPa2Bi | Alexandria | GGA-PBE | relaxed; energy of formation from the pure elements = -0.087 eV/atom; excess energy over the best structure of this formula in the dataset = 5.4 meV/atom; raw total energy = -63.5 eV for the cell shown; volume = 25.5 Å³/atom
1.0
-1.415 -1.654 -3.647
0.638 -4.017 1.575
-9.550 0.766 5.824
Zr Pa Bi
2 4 2
Cartesian
-4.046 -3.862 0.847 Zr
-6.281 -1.043 2.905 Zr
-1.699 -1.837 -0.979 Pa
-8.628 -3.068 4.731 Pa
-0.811 -3.021 1.683 Pa
-9.515 -1.884 2.069 Pa
-3.465 -1.025 1.808 Bi
-6.862 -3.880 1.944 Bi